1.
A geometry-optimized Fe3ReCl structure, computed with GGA-PBE.

a = 4.595 Å, b = 4.595 Å, c = 4.595 Å
α = 90.00°, β = 90.00°, γ = 90.00°
Element x y z (fractional)
1 Fe 0.000 0.000 0.500
2 Fe 0.000 0.500 0.000
3 Fe 0.500 0.000 0.000
4 Re 0.000 0.000 0.000
5 Cl 0.500 0.500 0.500

Output
- E_form (uncorrected): 35.17 kcal/mol of atoms
- Volume: 97.0 Å³/cell
- Mass density: 6.66 g/cm³

2.
A geometry-optimized CeRhC2 structure, computed with GGA-PBE.

a = 3.873 Å, b = 3.873 Å, c = 15.482 Å
α = 90.00°, β = 90.00°, γ = 90.00°
Element x y z (fractional)
1 Ce 0.129 0.866 0.000
2 Ce 0.134 0.129 0.750
3 Ce 0.866 0.871 0.250
4 Ce 0.871 0.134 0.500
5 Rh 0.357 0.633 0.597
6 Rh 0.367 0.357 0.347
7 Rh 0.633 0.643 0.847
8 Rh 0.643 0.367 0.097
9 C 0.136 0.365 0.143
10 C 0.347 0.361 0.214
11 C 0.361 0.653 0.464
12 C 0.365 0.864 0.393
13 C 0.635 0.136 0.893
14 C 0.639 0.347 0.964
15 C 0.653 0.639 0.714
16 C 0.864 0.635 0.643

Output
- Energy of formation from the pure elements: -0.272 eV/atom
- Volume: 232.3 Å³/cell
- Mass density: 7.64 g/cm³

3.
A geometry-optimized MnAl2Se structure, computed with GGA-PBE.

a = 4.543 Å, b = 4.543 Å, c = 3.178 Å
α = 90.00°, β = 90.00°, γ = 90.00°
Element x y z (fractional)
1 Mn 0.000 0.000 0.000
2 Al 0.000 0.500 0.500
3 Al 0.500 0.000 0.500
4 Se 0.500 0.500 0.000

Output
- E_form (uncorrected): 2.19 kcal/mol of atoms
- Volume: 65.6 Å³/cell
- Mass density: 4.76 g/cm³